Run w
This record from the Alexandria database describes an optimized crystal structure of LiZnGaHg. The functional is GGA-PBE.

Unit cell a=4.6385 b=4.6385 c=4.6385 alpha=60.00 beta=60.00 gamma=60.00
Closest atoms and distances in Å follow each position.
Positions (direct):
Li 0.0000 0.0000 0.0000  4 Hg 2.84, 4 Ga 2.84
Zn 0.5000 0.5000 0.5000  4 Hg 2.84, 4 Ga 2.84
Ga 0.7500 0.7500 0.7500  4 Zn 2.84, 4 Li 2.84
Hg 0.2500 0.2500 0.2500  4 Li 2.84, 4 Zn 2.84

Properties
Mass density in g/cm3: 8.06
Crystal system: cubic
Symmetry: No. 216

---

Run x
This record from the Alexandria database describes an optimized crystal structure of LiZnGaHg. The functional is GGA-PBE.

Unit cell a=4.8289 b=4.8289 c=4.3157 alpha=114.46 beta=114.46 gamma=52.53
Closest atoms and distances in Å follow each position.
Positions (direct):
Li 0.0000 0.0000 0.0000  4 Ga 2.82-2.94, 4 Hg 2.82-2.94, 4 Zn 3.01-3.06
Zn 0.5024 0.5024 0.5110  4 Ga 2.83-3.00, 4 Hg 2.86-2.92, 4 Li 3.01-3.06
Ga 0.2480 0.2480 0.7488  4 Li 2.82-2.94, 4 Zn 2.83-3.00, 4 Hg 3.03-3.04
Hg 0.7520 0.7520 0.2515  4 Li 2.82-2.94, 4 Zn 2.86-2.92, 4 Ga 3.03-3.04

Properties
Mass density in g/cm3: 8.03
Crystal system: monoclinic
Symmetry: No. 8

---

In meV/atom, relative to the most stable structure: run w 18; run x 0.

---

Run w
This record from the Alexandria database describes an optimized crystal structure of Mg4GaHg. The functional is GGA-PBE.

Unit cell a=5.7642 b=5.7642 c=6.9162 alpha=108.04 beta=108.04 gamma=35.85
Closest atoms and distances in Å follow each position.
Positions (direct):
Mg 0.1557 0.1557 0.3355  2 Ga 2.94, 2 Hg 2.98, 5 Mg 3.09-3.25
Mg 0.1575 0.1575 0.8205  2 Ga 2.92, 2 Hg 3.01, 5 Mg 3.15-3.25
Mg 0.8425 0.8425 0.1795  2 Ga 2.92, 2 Hg 3.01, 5 Mg 3.15-3.25
Mg 0.8443 0.8443 0.6645  2 Ga 2.94, 2 Hg 2.98, 5 Mg 3.09-3.25
Ga 0.5000 0.5000 0.5000  8 Mg 2.92-2.94
Hg 0.5000 0.5000 0.0000  8 Mg 2.98-3.01

Properties
Mass density in g/cm3: 4.80
Crystal system: monoclinic
Symmetry: No. 12

---

Run x
This record from the Alexandria database describes an optimized crystal structure of Mg4GaHg. The functional is GGA-PBE.

Unit cell a=4.6141 b=4.6141 c=6.6774 alpha=90.00 beta=90.00 gamma=90.00
Closest atoms and distances in Å follow each position.
Positions (direct):
Mg 0.0000 0.5000 0.2390  2 Ga 2.81, 2 Hg 2.89
Mg 0.0000 0.5000 0.7610  2 Ga 2.81, 2 Hg 2.89
Mg 0.5000 0.0000 0.2390  2 Ga 2.81, 2 Hg 2.89
Mg 0.5000 0.0000 0.7610  2 Ga 2.81, 2 Hg 2.89
Ga 0.0000 0.0000 0.0000  8 Mg 2.81
Hg 0.5000 0.5000 0.5000  8 Mg 2.89

Properties
Mass density in g/cm3: 4.29
Crystal system: tetragonal
Symmetry: No. 123

---

In meV/atom, relative to the most stable structure: run w 0; run x 14.

---

Run w
This record from the Alexandria database describes an optimized crystal structure of Mg7Ga2Hg2. The functional is GGA-PBE.

Unit cell a=5.8409 b=5.8409 c=7.5349 alpha=97.32 beta=97.32 gamma=107.47
Closest atoms and distances in Å follow each position.
Positions (direct):
Mg 0.0000 0.0000 0.0000  2 Ga 2.74
Mg 0.0916 0.5200 0.8238  3 Ga 2.84-3.11, 2 Hg 2.88-3.05, 2 Mg 3.00-3.17
Mg 0.2427 0.2427 0.4718  4 Hg 2.88-2.98, 1 Ga 2.90
Mg 0.4800 0.9084 0.1762  3 Ga 2.84-3.11, 2 Hg 2.88-3.05, 2 Mg 3.00-3.17
Mg 0.5200 0.0916 0.8238  3 Ga 2.84-3.11, 2 Hg 2.88-3.05, 2 Mg 3.00-3.17
Mg 0.7573 0.7573 0.5282  4 Hg 2.88-2.98, 1 Ga 2.90
Mg 0.9084 0.4800 0.1762  3 Ga 2.84-3.11, 2 Hg 2.88-3.05, 2 Mg 3.00-3.17
Ga 0.3998 0.3998 0.1451  4 Mg 2.74-2.90, 1 Ga 2.83
Ga 0.6002 0.6002 0.8549  4 Mg 2.74-2.90, 1 Ga 2.83
Hg 0.2435 0.7565 0.5000  8 Mg 2.88-3.05
Hg 0.7565 0.2435 0.5000  8 Mg 2.88-3.05

Properties
Mass density in g/cm3: 4.93
Crystal system: monoclinic
Symmetry: No. 12

---

Run x
This record from the Alexandria database describes an optimized crystal structure of Mg7Ga2Hg2. The functional is GGA-PBE.

Unit cell a=5.9680 b=5.9680 c=7.6165 alpha=90.00 beta=90.00 gamma=109.55
Closest atoms and distances in Å follow each position.
Positions (direct):
Mg 0.0000 0.0000 0.0000  2 Hg 2.86
Mg 0.0000 0.5000 0.2979  2 Hg 2.88, 2 Ga 2.92, 3 Mg 2.99-3.08
Mg 0.0000 0.5000 0.7021  2 Hg 2.88, 2 Ga 2.92, 3 Mg 2.99-3.08
Mg 0.5000 0.0000 0.2979  2 Hg 2.88, 2 Ga 2.92, 3 Mg 2.99-3.08
Mg 0.5000 0.0000 0.7021  2 Hg 2.88, 2 Ga 2.92, 3 Mg 2.99-3.08
Mg 0.5000 0.5000 0.2651  2 Ga 2.83, 2 Hg 2.85, 4 Mg 2.99
Mg 0.5000 0.5000 0.7349  2 Ga 2.83, 2 Hg 2.85, 4 Mg 2.99
Ga 0.1822 0.1822 0.5000  1 Ga 2.51
Ga 0.8178 0.8178 0.5000  1 Ga 2.51
Hg 0.2937 0.7063 0.0000  7 Mg 2.85-2.88
Hg 0.7063 0.2937 0.0000  7 Mg 2.85-2.88

Properties
Mass density in g/cm3: 4.62
Crystal system: orthorhombic
Symmetry: No. 65

---

In meV/atom, relative to the most stable structure: run w 0; run x 64.

---

Run w
This record from the Alexandria database describes an optimized crystal structure of Mg3GaHg. The functional is GGA-PBE.

Unit cell a=3.5911 b=3.6089 c=8.3658 alpha=101.74 beta=101.14 gamma=90.39
Closest atoms and distances in Å follow each position.
Positions (direct):
Mg 0.0000 0.0000 0.0000  4 Ga 2.96-3.07, 4 Hg 3.00-3.10, 2 Mg 3.03-3.21
Mg 0.1923 0.1909 0.3778  4 Ga 2.88-2.92, 5 Mg 3.03-3.12
Mg 0.7986 0.8002 0.6001  4 Hg 2.94-2.98, 5 Mg 3.08-3.21, 1 Ga 3.19
Ga 0.6079 0.6041 0.2028  9 Mg 2.88-3.19
Hg 0.3894 0.3928 0.7896  8 Mg 2.94-3.10

Properties
Mass density in g/cm3: 5.48
Crystal system: triclinic
Symmetry: No. 1

---

Run x
This record from the Alexandria database describes an optimized crystal structure of Mg3GaHg. The functional is GGA-PBE.

Unit cell a=4.6473 b=5.7865 c=8.3626 alpha=90.00 beta=105.64 gamma=90.00
Closest atoms and distances in Å follow each position.
Positions (direct):
Mg 0.0000 0.0000 0.0000  4 Ga 2.89-2.92, 4 Mg 2.89-3.13
Mg 0.0000 0.5000 0.0000  4 Ga 2.89-2.92, 4 Mg 2.89-3.13
Mg 0.1768 0.2500 0.3450  4 Hg 2.87-3.00, 2 Ga 2.93-2.97, 2 Mg 3.13
Mg 0.3826 0.2500 0.7607  2 Hg 2.84-2.86, 3 Ga 2.89-3.05
Mg 0.6174 0.7500 0.2393  2 Hg 2.84-2.86, 3 Ga 2.89-3.05
Mg 0.8232 0.7500 0.6550  4 Hg 2.87-3.00, 2 Ga 2.93-2.97, 2 Mg 3.13
Ga 0.4381 0.7500 0.8809  9 Mg 2.89-3.05
Ga 0.5619 0.2500 0.1191  9 Mg 2.89-3.05
Hg 0.2187 0.7500 0.4442  6 Mg 2.84-3.00
Hg 0.7813 0.2500 0.5558  6 Mg 2.84-3.00

Properties
Mass density in g/cm3: 5.26
Crystal system: monoclinic
Symmetry: No. 11

---

Run y
This record from the Alexandria database describes an optimized crystal structure of Mg3GaHg. The functional is GGA-PBE.

Unit cell a=5.2108 b=5.2108 c=5.2108 alpha=90.00 beta=90.00 gamma=90.00
Closest atoms and distances in Å follow each position.
Positions (direct):
Mg 0.0000 0.0000 0.5000  2 Hg 2.61
Mg 0.0000 0.5000 0.0000  2 Hg 2.61
Mg 0.5000 0.0000 0.0000  2 Hg 2.61
Ga 0.5000 0.5000 0.5000  12 Mg 3.68
Hg 0.0000 0.0000 0.0000  6 Mg 2.61

Properties
Mass density in g/cm3: 4.03
Crystal system: cubic
Symmetry: No. 221

---

In meV/atom, relative to the most stable structure: run w 0; run x 24; run y 351.

---

Run w
This record from the Alexandria database describes an optimized crystal structure of MgGa2Hg. The functional is GGA-PBE.

Unit cell a=10.8786 b=10.8786 c=10.8786 alpha=158.53 beta=158.53 gamma=30.55
Closest atoms and distances in Å follow each position.
Positions (direct):
Mg 0.0000 0.0000 0.0000  4 Hg 2.87, 4 Ga 2.98
Mg 0.7500 0.2500 0.5000  4 Hg 2.87, 4 Ga 2.98
Ga 0.1190 0.6250 0.9940  4 Ga 2.83-2.90, 2 Mg 2.98, 2 Hg 3.00
Ga 0.3750 0.3690 0.4940  4 Ga 2.83-2.90, 2 Mg 2.98, 2 Hg 3.00
Ga 0.6310 0.1250 0.0060  4 Ga 2.83-2.90, 2 Mg 2.98, 2 Hg 3.00
Ga 0.8750 0.8810 0.5060  4 Ga 2.83-2.90, 2 Mg 2.98, 2 Hg 3.00
Hg 0.2500 0.7500 0.5000  4 Mg 2.87, 4 Ga 3.00
Hg 0.5000 0.5000 0.0000  4 Mg 2.87, 4 Ga 3.00

Properties
Mass density in g/cm3: 7.02
Crystal system: tetragonal
Symmetry: No. 122

---

Run x
This record from the Alexandria database describes an optimized crystal structure of MgGa2Hg. The functional is GGA-PBE.

Unit cell a=4.2086 b=4.1196 c=9.7524 alpha=90.00 beta=97.30 gamma=90.00
Closest atoms and distances in Å follow each position.
Positions (direct):
Mg 0.2052 0.2500 0.3665  5 Hg 2.84-2.97, 1 Ga 3.07
Mg 0.7948 0.7500 0.6335  5 Hg 2.84-2.97, 1 Ga 3.07
Ga 0.0813 0.7500 0.1076  7 Ga 2.75-3.00, 1 Hg 2.93
Ga 0.4353 0.7500 0.8886  7 Ga 2.75-3.00, 2 Hg 3.04, 1 Mg 3.07
Ga 0.5647 0.2500 0.1114  7 Ga 2.75-3.00, 2 Hg 3.04, 1 Mg 3.07
Ga 0.9187 0.2500 0.8924  7 Ga 2.75-3.00, 1 Hg 2.93
Hg 0.2967 0.2500 0.6596  5 Mg 2.84-2.97, 3 Ga 2.93-3.04
Hg 0.7033 0.7500 0.3404  5 Mg 2.84-2.97, 3 Ga 2.93-3.04

Properties
Mass density in g/cm3: 7.21
Crystal system: monoclinic
Symmetry: No. 11

---

In meV/atom, relative to the most stable structure: run w 58; run x 0.

---

Run w
This record from the Alexandria database describes an optimized crystal structure of MgGa2Hg. The functional is GGA-PBE.

Unit cell a=4.7806 b=4.7806 c=4.7806 alpha=62.97 beta=62.97 gamma=62.97
Closest atoms and distances in Å follow each position.
Positions (direct):
Mg 0.0000 0.0000 0.0000  4 Ga 2.87-3.03, 4 Hg 2.89-3.03
Ga 0.2505 0.2505 0.2505  4 Ga 2.81-3.05, 4 Mg 2.87-3.03
Ga 0.4961 0.4961 0.4961  4 Ga 2.81-3.05, 4 Hg 2.88-3.03
Hg 0.7475 0.7475 0.7475  4 Ga 2.88-3.03, 4 Mg 2.89-3.03

Properties
Mass density in g/cm3: 7.35
Crystal system: trigonal
Symmetry: No. 160

---

Run x
This record from the Alexandria database describes an optimized crystal structure of MgGa2Hg. The functional is GGA-PBE.

Unit cell a=6.6992 b=6.6992 c=6.6992 alpha=41.07 beta=41.07 gamma=41.07
Closest atoms and distances in Å follow each position.
Positions (direct):
Mg 0.0000 0.0000 0.0000  6 Ga 2.74
Ga 0.3556 0.3556 0.3556  1 Hg 2.65, 3 Mg 2.74, 3 Ga 2.83
Ga 0.6444 0.6444 0.6444  1 Hg 2.65, 3 Mg 2.74, 3 Ga 2.83
Hg 0.5000 0.5000 0.5000  2 Ga 2.65

Properties
Mass density in g/cm3: 5.16
Crystal system: trigonal
Symmetry: No. 166

---

In meV/atom, relative to the most stable structure: run w 0; run x 110.

---

Run w
This record from the Alexandria database describes an optimized crystal structure of MgGa2Hg. The functional is GGA-PBE.

Unit cell a=4.9190 b=4.9190 c=4.9190 alpha=60.00 beta=60.00 gamma=60.00
Closest atoms and distances in Å follow each position.
Positions (direct):
Mg 0.0000 0.0000 0.0000  8 Ga 3.01
Ga 0.2500 0.2500 0.2500  4 Hg 3.01, 4 Mg 3.01
Ga 0.7500 0.7500 0.7500  4 Hg 3.01, 4 Mg 3.01
Hg 0.5000 0.5000 0.5000  8 Ga 3.01

Properties
Mass density in g/cm3: 7.19
Crystal system: cubic
Symmetry: No. 225

---

Run x
This record from the Alexandria database describes an optimized crystal structure of MgGa2Hg. The functional is GGA-PBE.

Unit cell a=4.2871 b=4.2871 c=4.4447 alpha=90.00 beta=90.00 gamma=90.00
Closest atoms and distances in Å follow each position.
Positions (direct):
Mg 0.0000 0.0000 0.0000  4 Hg 3.03, 8 Ga 3.09
Ga 0.0000 0.5000 0.5000  4 Ga 3.03, 4 Hg 3.09, 4 Mg 3.09
Ga 0.5000 0.0000 0.5000  4 Ga 3.03, 4 Hg 3.09, 4 Mg 3.09
Hg 0.5000 0.5000 0.0000  4 Mg 3.03, 8 Ga 3.09

Properties
Mass density in g/cm3: 7.41
Crystal system: tetragonal
Symmetry: No. 123

---

In meV/atom, relative to the most stable structure: run w 92; run x 0.

---

Run w
This record from the Alexandria database describes an optimized crystal structure of MgGa2Hg2. The functional is GGA-PBE.

Unit cell a=8.4262 b=8.4262 c=8.4262 alpha=154.19 beta=154.19 gamma=36.82
Closest atoms and distances in Å follow each position.
Positions (direct):
Mg 0.0000 0.0000 0.0000  8 Hg 3.09
Ga 0.2500 0.7500 0.5000  4 Ga 2.66
Ga 0.7500 0.2500 0.5000  4 Ga 2.66
Hg 0.4024 0.4024 0.0000  4 Ga 3.08, 4 Mg 3.09, 1 Hg 3.12
Hg 0.5976 0.5976 0.0000  4 Ga 3.08, 4 Mg 3.09, 1 Hg 3.12

Properties
Mass density in g/cm3: 8.29
Crystal system: tetragonal
Symmetry: No. 139

---

Run x
This record from the Alexandria database describes an optimized crystal structure of MgGa2Hg2. The functional is GGA-PBE.

Unit cell a=7.3809 b=7.3809 c=4.1269 alpha=90.00 beta=90.00 gamma=90.00
Closest atoms and distances in Å follow each position.
Positions (direct):
Mg 0.0000 0.0000 0.0000  4 Ga 2.91
Mg 0.5000 0.5000 0.0000  4 Ga 2.91
Ga 0.1271 0.3729 0.0000  1 Ga 2.65, 2 Hg 2.88, 2 Mg 2.91
Ga 0.3729 0.8729 0.0000  1 Ga 2.65, 2 Hg 2.88, 2 Mg 2.91
Ga 0.6271 0.1271 0.0000  1 Ga 2.65, 2 Hg 2.88, 2 Mg 2.91
Ga 0.8729 0.6271 0.0000  1 Ga 2.65, 2 Hg 2.88, 2 Mg 2.91
Hg 0.1808 0.6808 0.5000  6 Ga 2.88-3.10
Hg 0.3192 0.1808 0.5000  6 Ga 2.88-3.10
Hg 0.6808 0.8192 0.5000  6 Ga 2.88-3.10
Hg 0.8192 0.3192 0.5000  6 Ga 2.88-3.10

Properties
Mass density in g/cm3: 8.34
Crystal system: tetragonal
Symmetry: No. 127

---

In meV/atom, relative to the most stable structure: run w 0; run x 9.